# 1
# PuSb2Pd2, optimized geometry, DFT PBE
# Electronic total energy (eV/atom): -7.1611
# Fermi-level density of states (states/eV/atom): 3.0571
# Offset from the most stable computed form (eV per atom): 0.000
# M_tot (μB/cell): 11.034
# Space-group type: P2_1/m, No. 11
# Formation energy (no corrections) (eV/atom): -0.57
data_PuSb2Pd2
_symmetry_space_group_name_H-M 'P 1'
_symmetry_Int_Tables_number 1
_symmetry_space_group_name_Hall 'P 1'
_cell_length_a 4.6330
_cell_length_b 4.7356
_cell_length_c 10.3388
_cell_angle_alpha 90.95
_cell_angle_beta 90.00
_cell_angle_gamma 90.00
loop_
_atom_site_label
_atom_site_type_symbol
_atom_site_fract_x
_atom_site_fract_y
_atom_site_fract_z
_atom_site_occupancy
Pu1 Pu 0.7500 0.2584 0.7552 1
Pu2 Pu 0.2500 0.7416 0.2448 1
Sb1 Sb 0.7500 0.7539 0.4961 1
Sb2 Sb 0.7500 0.2084 0.1260 1
Sb3 Sb 0.2500 0.2461 0.5039 1
Sb4 Sb 0.2500 0.7916 0.8740 1
Pd1 Pd 0.2500 0.7475 0.6253 1
Pd2 Pd 0.7500 0.2525 0.3747 1
Pd3 Pd 0.2500 0.3003 0.0012 1
Pd4 Pd 0.7500 0.6997 0.9988 1


# 2
# Pu2Sb3Pd5, optimized geometry, DFT PBE
# Electronic total energy (eV/atom): -7.2824
# Fermi-level density of states (states/eV/atom): 2.7323
# M_tot (μB/cell): 21.242
# Space-group type: Cmc2_1, No. 36
# Formation energy (no corrections) (eV/atom): -0.58
data_Pu2Sb3Pd5
_symmetry_space_group_name_H-M 'P 1'
_symmetry_Int_Tables_number 1
_symmetry_space_group_name_Hall 'P 1'
_cell_length_a 4.5150
_cell_length_b 7.3596
_cell_length_c 12.6329
_cell_angle_alpha 90.00
_cell_angle_beta 100.29
_cell_angle_gamma 90.01
loop_
_atom_site_label
_atom_site_type_symbol
_atom_site_fract_x
_atom_site_fract_y
_atom_site_fract_z
_atom_site_occupancy
Sb1 Sb 0.0602 0.9646 0.1204 1
Sb2 Sb 0.7793 0.6481 0.5586 1
Sb3 Sb 0.3918 0.0292 0.7835 1
Sb4 Sb 0.9398 0.4646 0.8796 1
Sb5 Sb 0.6082 0.5292 0.2165 1
Sb6 Sb 0.2207 0.1481 0.4414 1
Pd1 Pd 0.7031 0.3532 0.4062 1
Pd2 Pd 0.2693 0.4624 0.5387 1
Pd3 Pd 0.3831 0.5441 0.7662 1
Pd4 Pd 0.1223 0.2914 0.2445 1
Pd5 Pd 0.6169 0.0441 0.2338 1
Pd6 Pd 0.2969 0.8532 0.5938 1
Pd7 Pd 0.7306 0.9624 0.4613 1
Pd8 Pd 0.9545 0.0768 0.9090 1
Pd9 Pd 0.0455 0.5768 0.0910 1
Pd10 Pd 0.8777 0.7914 0.7555 1
Pu1 Pu 0.5121 0.2599 0.0242 1
Pu2 Pu 0.1698 0.7351 0.3394 1
Pu3 Pu 0.8303 0.2351 0.6606 1
Pu4 Pu 0.4879 0.7599 0.9758 1


# 3
# PuSbPd14, optimized geometry, DFT PBE
# Electronic total energy (eV/atom): -5.9404
# Fermi-level density of states (states/eV/atom): 1.6968
# M_tot (μB/cell): 3.542
# Space-group type: P4/mmm, No. 123
# Formation energy (no corrections) (eV/atom): -0.24
data_PuSbPd14
_symmetry_space_group_name_H-M 'P 1'
_symmetry_Int_Tables_number 1
_symmetry_space_group_name_Hall 'P 1'
_cell_length_a 5.7835
_cell_length_b 5.7835
_cell_length_c 7.7797
_cell_angle_alpha 90.00
_cell_angle_beta 90.00
_cell_angle_gamma 90.00
loop_
_atom_site_label
_atom_site_type_symbol
_atom_site_fract_x
_atom_site_fract_y
_atom_site_fract_z
_atom_site_occupancy
Pd1 Pd 0.8750 0.8750 0.0000 1
Pd2 Pd 0.3750 0.3750 0.0000 1
Pd3 Pd 0.8750 0.3750 0.5000 1
Pd4 Pd 0.3750 0.8750 0.5000 1
Pd5 Pd 0.6269 0.6269 0.7532 1
Pd6 Pd 0.6270 0.1230 0.2468 1
Pd7 Pd 0.1231 0.1231 0.2468 1
Pd8 Pd 0.1230 0.6270 0.7532 1
Pd9 Pd 0.6270 0.1230 0.7532 1
Pd10 Pd 0.1230 0.6270 0.2468 1
Pd11 Pd 0.8750 0.3750 0.0000 1
Pd12 Pd 0.1231 0.1231 0.7532 1
Pd13 Pd 0.6269 0.6269 0.2468 1
Pd14 Pd 0.3750 0.8750 0.0000 1
Pu1 Pu 0.3750 0.3750 0.5000 1
Sb1 Sb 0.8750 0.8750 0.5000 1


# 4
# Pu2SbPd2, optimized geometry, DFT PBE
# Electronic total energy (eV/atom): -9.2253
# Fermi-level density of states (states/eV/atom): 4.1091
# Offset from the most stable computed form (eV per atom): 0.000
# M_tot (μB/cell): 42.732
# Space-group type: P4/mbm, No. 127
# Formation energy (no corrections) (eV/atom): -0.59
data_Pu2SbPd2
_symmetry_space_group_name_H-M 'P 1'
_symmetry_Int_Tables_number 1
_symmetry_space_group_name_Hall 'P 1'
_cell_length_a 7.4431
_cell_length_b 7.4431
_cell_length_c 8.1646
_cell_angle_alpha 90.00
_cell_angle_beta 90.00
_cell_angle_gamma 90.00
loop_
_atom_site_label
_atom_site_type_symbol
_atom_site_fract_x
_atom_site_fract_y
_atom_site_fract_z
_atom_site_occupancy
Pu1 Pu 0.3228 0.1771 0.0000 1
Pu2 Pu 0.8229 0.3228 0.0000 1
Pu3 Pu 0.6772 0.8229 0.0000 1
Pu4 Pu 0.1772 0.6771 0.5000 1
Pu5 Pu 0.6771 0.8228 0.5000 1
Pu6 Pu 0.1771 0.6772 0.0000 1
Pu7 Pu 0.8228 0.3229 0.5000 1
Pu8 Pu 0.3229 0.1772 0.5000 1
Pd1 Pd 0.8718 0.6282 0.7500 1
Pd2 Pd 0.1282 0.3718 0.7500 1
Pd3 Pd 0.6282 0.1282 0.2500 1
Pd4 Pd 0.3718 0.8718 0.7500 1
Pd5 Pd 0.6282 0.1282 0.7500 1
Pd6 Pd 0.1282 0.3718 0.2500 1
Pd7 Pd 0.8718 0.6282 0.2500 1
Pd8 Pd 0.3718 0.8718 0.2500 1
Sb1 Sb 0.5000 0.5000 0.2499 1
Sb2 Sb 0.0000 0.0000 0.2501 1
Sb3 Sb 0.0000 0.0000 0.7499 1
Sb4 Sb 0.5000 0.5000 0.7501 1